Density functional theory data (PBE) for SrTaSe2 after structural relaxation.

## Properties
* distance to the lowest polymorph of the same formula: 723 meV per atom
* DOS at the Fermi energy: 2.5 states/eV/f.u.
* DFT total energy: -62.93 eV per cell
* M_tot: 0.00 Bohr magnetons per cell
* space-group type: R3m, No. 160

Structure (POSCAR):
```
SrTaSe2
1.0
3.547 0.000 0.000
-1.774 3.072 0.000
0.000 0.000 29.147
Sr Ta Se
3 3 6
Direct
0.000 0.000 0.000
0.333 0.667 0.667
0.667 0.333 0.333
0.000 0.000 0.229
0.333 0.667 0.895
0.667 0.333 0.562
0.000 0.000 0.509
0.000 0.000 0.739
0.333 0.667 0.176
0.333 0.667 0.406
0.667 0.333 0.073
0.667 0.333 0.842
```

Density functional theory data (PBE) for SrTa3Se after structural relaxation.

## Properties
* distance to the lowest polymorph of the same formula: 2078 meV per atom
* DOS at the Fermi energy: 5.6 states/eV/f.u.
* DFT total energy: -25.97 eV per cell
* M_tot: 0.00 Bohr magnetons per cell
* space-group type: Pm-3m, No. 221

Structure (POSCAR):
```
SrTa3Se
1.0
4.948 0.000 0.000
0.000 4.948 0.000
0.000 0.000 4.948
Sr Ta Se
1 3 1
Direct
0.000 0.000 0.000
0.000 0.000 0.500
0.000 0.500 0.000
0.500 0.000 0.000
0.500 0.500 0.500
```

Density functional theory data (PBE) for Sr2TaSe after structural relaxation.

## Properties
* distance to the lowest polymorph of the same formula: 9 meV per atom
* DOS at the Fermi energy: 4.1 states/eV/f.u.
* DFT total energy: -18.90 eV per cell
* M_tot: 0.65 Bohr magnetons per cell
* space-group type: P4/mmm, No. 123

Structure (POSCAR):
```
Sr2TaSe
1.0
3.573 0.000 0.000
0.000 3.573 0.000
0.000 0.000 8.925
Sr Ta Se
2 1 1
Direct
0.000 0.000 0.212
0.000 0.000 0.788
0.500 0.500 0.500
0.500 0.500 0.000
```

Density functional theory data (PBE) for SrTaSe2 after structural relaxation.

## Properties
* distance to the lowest polymorph of the same formula: 270 meV per atom
* DOS at the Fermi energy: 2.6 states/eV/f.u.
* DFT total energy: -22.79 eV per cell
* M_tot: 0.00 Bohr magnetons per cell
* space-group type: P4mm, No. 99

Structure (POSCAR):
```
SrTaSe2
1.0
3.737 0.000 0.000
0.000 3.737 0.000
0.000 0.000 7.263
Sr Ta Se
1 1 2
Direct
0.000 0.000 0.000
0.500 0.500 0.444
0.000 0.000 0.424
0.500 0.500 0.797
```

Density functional theory data (PBE) for SrTaSe3 after structural relaxation.

## Properties
* DOS at the Fermi energy: 1.5 states/eV/f.u.
* DFT total energy: -29.09 eV per cell
* M_tot: 0.00 Bohr magnetons per cell
* space-group type: Pm-3m, No. 221

Structure (POSCAR):
```
SrTaSe3
1.0
5.092 0.000 0.000
0.000 5.092 0.000
0.000 0.000 5.092
Sr Ta Se
1 1 3
Direct
0.000 0.000 0.000
0.500 0.500 0.500
0.000 0.500 0.500
0.500 0.000 0.500
0.500 0.500 0.000
```

Density functional theory data (PBE) for Sr2TaSe after structural relaxation.

## Properties
* distance to the lowest polymorph of the same formula: 19 meV per atom
* DOS at the Fermi energy: 4.2 states/eV/f.u.
* DFT total energy: -37.72 eV per cell
* M_tot: 2.36 Bohr magnetons per cell
* space-group type: Cm, No. 8

Structure (POSCAR):
```
Sr2TaSe
1.0
12.131 0.000 0.000
0.000 3.529 0.000
-2.072 0.000 5.390
Sr Ta Se
4 2 2
Direct
0.000 0.000 0.000
0.189 0.000 0.645
0.500 0.500 0.000
0.689 0.500 0.645
0.281 0.500 0.225
0.781 0.000 0.225
0.437 0.000 0.478
0.937 0.500 0.478
```

Density functional theory data (PBE) for SrTaSe2 after structural relaxation.

## Properties
* distance to the lowest polymorph of the same formula: 269 meV per atom
* DOS at the Fermi energy: 3.5 states/eV/f.u.
* DFT total energy: -91.16 eV per cell
* M_tot: 5.33 Bohr magnetons per cell
* space-group type: I-42d, No. 122

Structure (POSCAR):
```
SrTaSe2
1.0
6.002 0.000 0.000
0.000 6.002 0.000
0.000 0.000 14.007
Sr Ta Se
4 4 8
Direct
0.000 0.000 0.000
0.000 0.500 0.250
0.500 0.000 0.750
0.500 0.500 0.500
0.000 0.000 0.500
0.000 0.500 0.750
0.500 0.000 0.250
0.500 0.500 0.000
0.169 0.250 0.625
0.250 0.669 0.875
0.250 0.831 0.375
0.331 0.250 0.125
0.669 0.750 0.125
0.750 0.169 0.375
0.750 0.331 0.875
0.831 0.750 0.625
```

Density functional theory data (PBE) for Sr2TaSe after structural relaxation.

## Properties
* distance to the lowest polymorph of the same formula: 669 meV per atom
* DOS at the Fermi energy: 7.2 states/eV/f.u.
* DFT total energy: -65.04 eV per cell
* M_tot: 16.64 Bohr magnetons per cell
* space-group type: F-43m, No. 216

Structure (POSCAR):
```
Sr2TaSe
1.0
7.747 0.000 0.000
0.000 7.747 0.000
0.000 0.000 7.747
Sr Ta Se
8 4 4
Direct
0.000 0.000 0.000
0.000 0.500 0.500
0.250 0.250 0.250
0.250 0.750 0.750
0.500 0.000 0.500
0.500 0.500 0.000
0.750 0.250 0.750
0.750 0.750 0.250
0.250 0.250 0.750
0.250 0.750 0.250
0.750 0.250 0.250
0.750 0.750 0.750
0.000 0.000 0.500
0.000 0.500 0.000
0.500 0.000 0.000
0.500 0.500 0.500
```

Density functional theory data (PBE) for SrTa4Se8 after structural relaxation.

## Properties
* distance to the lowest polymorph of the same formula: 0 meV per atom
* DOS at the Fermi energy: 6.4 states/eV/f.u.
* DFT total energy: -88.81 eV per cell
* M_tot: 0.00 Bohr magnetons per cell
* space-group type: R-3m, No. 166

Structure (POSCAR):
```
SrTa4Se8
1.0
3.508 2.025 7.892
-3.508 2.025 7.892
0.000 -4.051 7.892
Sr Ta Se
1 4 8
Direct
0.000 0.000 0.000
0.000 0.000 0.500
0.000 0.500 0.000
0.500 0.000 0.000
0.500 0.500 0.500
0.237 0.237 0.237
0.242 0.735 0.735
0.265 0.265 0.758
0.265 0.758 0.265
0.735 0.242 0.735
0.735 0.735 0.242
0.758 0.265 0.265
0.763 0.763 0.763
```

Density functional theory data (PBE) for SrTaSe2 after structural relaxation.

## Properties
* distance to the lowest polymorph of the same formula: 1278 meV per atom
* DOS at the Fermi energy: 1.1 states/eV/f.u.
* DFT total energy: -75.03 eV per cell
* M_tot: 11.69 Bohr magnetons per cell
* space-group type: F-43m, No. 216

Structure (POSCAR):
```
SrTaSe2
1.0
7.236 0.000 0.000
0.000 7.236 0.000
0.000 0.000 7.236
Sr Ta Se
4 4 8
Direct
0.000 0.000 0.000
0.000 0.500 0.500
0.500 0.000 0.500
0.500 0.500 0.000
0.250 0.250 0.750
0.250 0.750 0.250
0.750 0.250 0.250
0.750 0.750 0.750
0.000 0.000 0.500
0.000 0.500 0.000
0.250 0.250 0.250
0.250 0.750 0.750
0.500 0.000 0.000
0.500 0.500 0.500
0.750 0.250 0.750
0.750 0.750 0.250
```

Density functional theory data (PBE) for SrTaSe2 after structural relaxation.

## Properties
* distance to the lowest polymorph of the same formula: 136 meV per atom
* DOS at the Fermi energy: 1.8 states/eV/f.u.
* DFT total energy: -23.32 eV per cell
* M_tot: 0.00 Bohr magnetons per cell
* space-group type: P4/mmm, No. 123

Structure (POSCAR):
```
SrTaSe2
1.0
3.378 0.000 0.000
0.000 3.378 0.000
0.000 0.000 7.319
Sr Ta Se
1 1 2
Direct
0.000 0.000 0.000
0.000 0.000 0.500
0.500 0.500 0.291
0.500 0.500 0.709
```

Density functional theory data (PBE) for Sr2TaSe after structural relaxation.

## Properties
* distance to the lowest polymorph of the same formula: 406 meV per atom
* DOS at the Fermi energy: 3.2 states/eV/f.u.
* DFT total energy: -17.31 eV per cell
* M_tot: 4.37 Bohr magnetons per cell
* space-group type: Pmm2, No. 25

Structure (POSCAR):
```
Sr2TaSe
1.0
4.253 0.000 0.000
0.000 4.868 0.000
0.000 0.000 6.586
Sr Ta Se
2 1 1
Direct
0.000 0.000 0.000
0.500 0.500 0.497
0.000 0.000 0.500
0.500 0.500 0.997
```

Density functional theory data (PBE) for SrTaSe2 after structural relaxation.

## Properties
* distance to the lowest polymorph of the same formula: 139 meV per atom
* DOS at the Fermi energy: 3.1 states/eV/f.u.
* DFT total energy: -23.31 eV per cell
* M_tot: 0.00 Bohr magnetons per cell
* space-group type: Pmmm, No. 47

Structure (POSCAR):
```
SrTaSe2
1.0
3.665 0.000 0.000
0.000 3.683 0.000
0.000 0.000 7.287
Sr Ta Se
1 1 2
Direct
0.000 0.000 0.000
0.000 0.500 0.500
0.500 0.500 0.246
0.500 0.500 0.754
```

Density functional theory data (PBE) for SrTaSe2 after structural relaxation.

## Properties
* distance to the lowest polymorph of the same formula: 337 meV per atom
* DOS at the Fermi energy: 3.1 states/eV/f.u.
* DFT total energy: -90.09 eV per cell
* M_tot: 4.00 Bohr magnetons per cell
* space-group type: Fm-3m, No. 225

Structure (POSCAR):
```
SrTaSe2
1.0
6.959 0.000 0.000
0.000 6.959 0.000
0.000 0.000 6.959
Sr Ta Se
4 4 8
Direct
0.000 0.000 0.000
0.000 0.500 0.500
0.500 0.000 0.500
0.500 0.500 0.000
0.000 0.000 0.500
0.000 0.500 0.000
0.500 0.000 0.000
0.500 0.500 0.500
0.250 0.250 0.250
0.250 0.250 0.750
0.250 0.750 0.250
0.250 0.750 0.750
0.750 0.250 0.250
0.750 0.250 0.750
0.750 0.750 0.250
0.750 0.750 0.750
```

Density functional theory data (PBE) for Sr2TaSe after structural relaxation.

## Properties
* distance to the lowest polymorph of the same formula: 404 meV per atom
* DOS at the Fermi energy: 4.3 states/eV/f.u.
* DFT total energy: -34.64 eV per cell
* M_tot: 6.09 Bohr magnetons per cell
* space-group type: I-4m2, No. 119

Structure (POSCAR):
```
Sr2TaSe
1.0
4.576 0.000 0.000
0.000 4.576 0.000
0.000 0.000 11.584
Sr Ta Se
4 2 2
Direct
0.000 0.000 0.000
0.000 0.500 0.250
0.500 0.000 0.750
0.500 0.500 0.500
0.000 0.500 0.750
0.500 0.000 0.250
0.000 0.000 0.500
0.500 0.500 0.000
```

Density functional theory data (PBE) for SrTaSe2 after structural relaxation.

## Properties
* distance to the lowest polymorph of the same formula: 0 meV per atom
* DOS at the Fermi energy: 2.8 states/eV/f.u.
* DFT total energy: -47.74 eV per cell
* M_tot: 1.52 Bohr magnetons per cell
* space-group type: C2/m, No. 12

Structure (POSCAR):
```
SrTaSe2
1.0
7.404 0.000 0.000
0.000 3.855 0.000
-2.062 0.000 6.537
Sr Ta Se
2 2 4
Direct
0.000 0.000 0.000
0.500 0.500 0.000
0.000 0.500 0.500
0.500 0.000 0.500
0.237 0.000 0.704
0.263 0.500 0.296
0.737 0.500 0.704
0.763 0.000 0.296
```

Density functional theory data (PBE) for Sr4TaSe after structural relaxation.

## Properties
* DOS at the Fermi energy: 5.8 states/eV/f.u.
* DFT total energy: -16.79 eV per cell
* M_tot: 4.01 Bohr magnetons per cell
* space-group type: F-43m, No. 216

Structure (POSCAR):
```
Sr4TaSe
1.0
0.000 4.851 4.851
4.851 0.000 4.851
4.851 4.851 0.000
Sr Ta Se
4 1 1
Direct
0.125 0.125 0.125
0.125 0.125 0.624
0.125 0.624 0.125
0.624 0.125 0.125
0.500 0.500 0.500
0.750 0.750 0.750
```

Density functional theory data (PBE) for SrTaSe3 after structural relaxation.

## Properties
* DFT total energy: -116.89 eV per cell
* M_tot: 0.00 Bohr magnetons per cell
* space-group type: P2_1/c, No. 14

Structure (POSCAR):
```
SrTaSe3
1.0
7.271 0.000 0.000
0.000 8.240 0.000
-6.799 0.000 10.348
Sr Ta Se
4 4 12
Direct
0.191 0.130 0.241
0.191 0.370 0.741
0.809 0.630 0.259
0.809 0.870 0.759
0.161 0.619 0.078
0.161 0.881 0.578
0.839 0.119 0.422
0.839 0.381 0.922
0.090 0.180 0.933
0.090 0.320 0.433
0.279 0.677 0.936
0.279 0.823 0.436
0.418 0.017 0.776
0.418 0.483 0.276
0.582 0.517 0.724
0.582 0.983 0.224
0.721 0.177 0.564
0.721 0.323 0.064
0.910 0.680 0.567
0.910 0.820 0.067
```

Density functional theory data (PBE) for Sr2TaSe after structural relaxation.

## Properties
* distance to the lowest polymorph of the same formula: 113 meV per atom
* DOS at the Fermi energy: 4.8 states/eV/f.u.
* DFT total energy: -36.96 eV per cell
* M_tot: 1.42 Bohr magnetons per cell
* space-group type: C2/m, No. 12

Structure (POSCAR):
```
Sr2TaSe
1.0
6.571 0.000 0.000
0.000 3.788 0.000
-2.176 0.000 9.670
Sr Ta Se
4 2 2
Direct
0.237 0.000 0.211
0.263 0.500 0.789
0.737 0.500 0.211
0.763 0.000 0.789
0.000 0.000 0.500
0.500 0.500 0.500
0.000 0.500 0.000
0.500 0.000 0.000
```

Density functional theory data (PBE) for SrTaSe2 after structural relaxation.

## Properties
* distance to the lowest polymorph of the same formula: 64 meV per atom
* DOS at the Fermi energy: 3.1 states/eV/f.u.
* DFT total energy: -47.22 eV per cell
* M_tot: 0.00 Bohr magnetons per cell
* space-group type: Cm, No. 8

Structure (POSCAR):
```
SrTaSe2
1.0
8.072 0.000 0.000
0.000 3.649 0.000
-1.827 0.000 6.800
Sr Ta Se
2 2 4
Direct
0.000 0.000 0.000
0.500 0.500 0.000
0.278 0.000 0.565
0.778 0.500 0.565
0.104 0.500 0.693
0.264 0.500 0.289
0.604 0.000 0.693
0.764 0.000 0.289
```